Below is a relaxed Y4Tl2Ag3 crystal, with properties calculated at the GGA-PBE level.

```
9
Lattice="4.9653 0.0005 0.0008 2.4820 4.9762 0.7016 -0.0017 0.8331 9.2311" Properties=species:S:1:pos:R:3 pbc="T T T"
Y 4.9633 4.3331 8.7814
Y 2.4814 4.6619 3.7831
Y 4.9641 1.1480 6.1504
Y 2.4822 1.4768 1.1521
Tl 2.4812 2.8933 7.1551
Tl 4.9644 2.9166 2.7783
Ag 2.4817 1.7002 4.1798
Ag 0.0000 0.0000 0.0000
Ag 4.9639 4.1097 5.7537
```

Computed properties:
Energy of formation from the pure elements, eV/atom: -0.279
VASP energy, eV/cell: -41.65